No. 1
DFT (GGA-PBEsol) results for an optimized crystal structure of GdOF.

Cell lengths 7.011, 6.578, 5.788 Å; angles 68.74, 60.97, 50.30 degrees
Fractional positions:
Gd 0.075 0.675 0.075
Gd 0.325 0.925 0.325
Gd 0.675 0.075 0.675
Gd 0.925 0.325 0.925
O 0.007 0.007 0.743
O 0.257 0.257 0.993
O 0.743 0.743 0.007
O 0.993 0.993 0.257
F 0.000 0.500 0.500
F 0.500 0.000 0.500
F 0.500 0.500 0.000
F 0.500 0.500 0.500

Results
ΔE_f (raw): -11.3 eV per formula unit
DOS(E_F): 0.00 states/eV per cell



No. 2
DFT (GGA-PBEsol) results for an optimized crystal structure of ZrMo2.

Cell lengths 4.783, 4.783, 5.206 Å; angles 90.00, 90.00, 120.00 degrees
Fractional positions:
Zr 0.333 0.667 0.250
Zr 0.667 0.333 0.750
Mo 0.000 0.000 0.000
Mo 0.000 0.000 0.500
Mo 0.333 0.667 0.750
Mo 0.667 0.333 0.250

Results
DOS(E_F): 5.08 states/eV per cell
Excess energy over the best structure of this formula in the dataset: 0.467 eV/atom



No. 3
DFT (GGA-PBEsol) results for an optimized crystal structure of BeZnTe2N.

Cell lengths 5.344, 5.344, 3.109 Å; angles 90.00, 90.00, 90.00 degrees
Fractional positions:
Be 0.000 0.000 0.000
Zn 0.500 0.500 0.500
Te 0.000 0.500 0.000
Te 0.500 0.000 0.000
N 0.000 0.000 0.500

Results
ΔE_f (raw): 1.6 eV per formula unit
DOS(E_F): 2.90 states/eV per cell



No. 4
DFT (GGA-PBEsol) results for an optimized crystal structure of Al2CuNi2.

Cell lengths 4.895, 4.895, 6.531 Å; angles 109.27, 109.27, 54.20 degrees
Fractional positions:
Al 0.024 0.337 0.147
Al 0.337 0.024 0.647
Al 0.663 0.976 0.353
Al 0.976 0.663 0.853
Cu 0.186 0.814 0.250
Cu 0.814 0.186 0.750
Ni 0.237 0.546 0.542
Ni 0.454 0.763 0.958
Ni 0.546 0.237 0.042
Ni 0.763 0.454 0.458

Results
DOS(E_F): 3.94 states/eV per cell
Excess energy over the best structure of this formula in the dataset: 0.000 eV/atom



No. 5
DFT (GGA-PBEsol) results for an optimized crystal structure of Ni2BiBIr.

Cell lengths 4.631, 4.631, 3.936 Å; angles 90.00, 90.00, 90.00 degrees
Fractional positions:
Ni 0.000 0.500 0.000
Ni 0.500 0.000 0.000
Bi 0.000 0.000 0.500
B 0.500 0.500 0.500
Ir 0.500 0.500 0.000

Results
DOS(E_F): 6.18 states/eV per cell
Raw total energy: -29.31 eV per formula unit



No. 6
DFT (GGA-PBEsol) results for an optimized crystal structure of BaLiMg2.

Cell lengths 10.940, 10.940, 10.940 Å; angles 18.46, 18.46, 18.46 degrees
Fractional positions:
Ba 0.000 0.000 0.000
Li 0.500 0.500 0.500
Mg 0.238 0.238 0.238
Mg 0.762 0.762 0.762

Results
DOS(E_F): 2.80 states/eV per cell
Excess energy over the best structure of this formula in the dataset: 0.154 eV/atom



No. 7
DFT (GGA-PBEsol) results for an optimized crystal structure of BePPb2.

Cell lengths 4.178, 3.619, 6.086 Å; angles 90.00, 109.91, 90.00 degrees
Fractional positions:
Be 0.000 0.000 0.000
P 0.109 0.500 0.193
Pb 0.412 0.500 0.812
Pb 0.737 0.000 0.456

Results
DOS(E_F): 1.82 states/eV per cell
Excess energy over the best structure of this formula in the dataset: 0.222 eV/atom



No. 8
DFT (GGA-PBEsol) results for an optimized crystal structure of LiIn2Rh.

Cell lengths 5.193, 5.193, 5.193 Å; angles 135.86, 135.86, 64.20 degrees
Fractional positions:
Li 0.000 0.000 0.000
In 0.250 0.750 0.500
In 0.500 0.500 0.000
Rh 0.750 0.250 0.500

Results
DOS(E_F): 1.19 states/eV per cell
Excess energy over the best structure of this formula in the dataset: 0.106 eV/atom



No. 9
DFT (GGA-PBEsol) results for an optimized crystal structure of Cu2PtSeI.

Cell lengths 4.953, 4.953, 4.528 Å; angles 90.00, 90.00, 90.00 degrees
Fractional positions:
Cu 0.000 0.500 0.000
Cu 0.500 0.000 0.000
Pt 0.000 0.000 0.000
Se 0.000 0.000 0.500
I 0.500 0.500 0.500

Results
ΔE_f (raw): 2.9 eV per formula unit
DOS(E_F): 4.78 states/eV per cell



No. 10
DFT (GGA-PBEsol) results for an optimized crystal structure of CuAu.

Cell lengths 8.736, 7.582, 5.242 Å; angles 90.00, 90.00, 90.00 degrees
Fractional positions:
Cu 0.101 0.060 0.250
Cu 0.101 0.440 0.750
Cu 0.373 0.605 0.250
Cu 0.373 0.895 0.750
Cu 0.397 0.250 0.000
Cu 0.397 0.250 0.500
Cu 0.603 0.750 0.000
Cu 0.603 0.750 0.500
Cu 0.627 0.105 0.250
Cu 0.627 0.395 0.750
Cu 0.899 0.560 0.250
Cu 0.899 0.940 0.750
Au 0.125 0.750 0.000
Au 0.125 0.750 0.500
Au 0.156 0.114 0.750
Au 0.156 0.386 0.250
Au 0.378 0.558 0.750
Au 0.378 0.942 0.250
Au 0.622 0.058 0.750
Au 0.622 0.442 0.250
Au 0.844 0.614 0.750
Au 0.844 0.886 0.250
Au 0.875 0.250 0.000
Au 0.875 0.250 0.500

Results
DOS(E_F): 7.31 states/eV per cell
Raw total energy: -8.20 eV per formula unit



No. 11
DFT (GGA-PBEsol) results for an optimized crystal structure of OsRuF2.

Cell lengths 9.673, 9.673, 9.673 Å; angles 15.35, 15.35, 15.35 degrees
Fractional positions:
Os 0.000 0.000 0.000
Ru 0.500 0.500 0.500
F 0.435 0.435 0.435
F 0.565 0.565 0.565

Results
ΔE_f (raw): -0.5 eV per formula unit
DOS(E_F): 3.41 states/eV per cell



No. 12
DFT (GGA-PBEsol) results for an optimized crystal structure of TlMoRu.

Cell lengths 6.179, 6.179, 6.179 Å; angles 152.39, 152.39, 39.44 degrees
Fractional positions:
Tl 0.000 0.000 0.000
Mo 0.690 0.690 0.000
Ru 0.318 0.318 0.000

Results
DOS(E_F): 2.42 states/eV per cell
Excess energy over the best structure of this formula in the dataset: 0.000 eV/atom